Record 1
The following is a PBE calculation of Mn2CdN2 after structural relaxation, from Alexandria via LeMat-Bulk.

Calculated values
The value obtained for the energy relative to the elements, uncorrected is 8.6 eV per formula unit.

a b c (Å): 7.4548 7.4548 7.4548
angles (deg): 90.00 90.00 90.00
Last column: nearest neighbours and their distance in Å.
Element x y z (fractional)
Mn1 0.2047 0.2047 0.7953  1 N 1.64
Mn2 0.2047 0.7953 0.2047  1 N 1.64
Mn3 0.7953 0.2047 0.2047  1 N 1.64
Mn4 0.7953 0.7953 0.7953  1 N 1.64
Cd1 0.0000 0.0000 0.0000  4 Mn 2.64
Cd2 0.5000 0.5000 0.5000  4 N 2.18
N1 0.3314 0.3314 0.6686  1 Mn 1.64
N2 0.3314 0.6686 0.3314  1 Mn 1.64
N3 0.6686 0.3314 0.3314  1 Mn 1.64
N4 0.6686 0.6686 0.6686  1 Mn 1.64

---

Record 2
The following is a PBE calculation of Sr2Nd2O5 after structural relaxation, from Alexandria via LeMat-Bulk.

Calculated values
The value obtained for the energy relative to the elements, uncorrected is -27.0 eV per formula unit.

a b c (Å): 7.0210 7.0210 6.7744
angles (deg): 90.00 90.00 57.41
Last column: nearest neighbours and their distance in Å.
Element x y z (fractional)
Sr1 0.2053 0.2053 0.0000  7 O 2.53-2.76
Sr2 0.2947 0.2947 0.5000  7 O 2.53-2.76
Sr3 0.7053 0.7053 0.5000  7 O 2.53-2.76
Sr4 0.7947 0.7947 0.0000  7 O 2.53-2.76
Nd1 0.1674 0.8326 0.6676  4 O 2.32-2.52
Nd2 0.3326 0.6674 0.1676  4 O 2.32-2.52
Nd3 0.6674 0.3326 0.8324  4 O 2.32-2.52
Nd4 0.8326 0.1674 0.3324  4 O 2.32-2.52
O1 0.0000 0.0000 0.0000  4 Nd 2.51-2.52, 2 Sr 2.53
O2 0.0282 0.7164 0.3489  1 Nd 2.32, 1 Sr 2.53
O3 0.2164 0.5282 0.8489  1 Nd 2.32, 1 Sr 2.53
O4 0.2836 0.9718 0.3489  1 Nd 2.32, 1 Sr 2.53
O5 0.4718 0.7836 0.8489  1 Nd 2.32, 1 Sr 2.53
O6 0.5000 0.5000 0.5000  4 Nd 2.51-2.52, 2 Sr 2.53
O7 0.5282 0.2164 0.1511  1 Nd 2.32, 1 Sr 2.53
O8 0.7164 0.0282 0.6511  1 Nd 2.32, 1 Sr 2.53
O9 0.7836 0.4718 0.1511  1 Nd 2.32, 1 Sr 2.53
O10 0.9718 0.2836 0.6511  1 Nd 2.32, 1 Sr 2.53

---

Record 3
The following is a PBE calculation of Sc3Ta after structural relaxation, from Alexandria via LeMat-Bulk.

Calculated values
For the total energy, the calculation gives -30.2 eV per formula unit.

a b c (Å): 9.4170 9.4170 9.4170
angles (deg): 152.76 152.76 38.91
Last column: nearest neighbours and their distance in Å.
Element x y z (fractional)
Sc1 0.0000 0.5000 0.5000  8 Sc 3.13-3.14, 4 Ta 3.16
Sc2 0.1245 0.1245 0.0000  8 Sc 3.13-3.14, 4 Ta 3.14
Sc3 0.2500 0.7500 0.5000  4 Ta 3.12, 8 Sc 3.14
Sc4 0.5000 0.0000 0.5000  8 Sc 3.13-3.14, 4 Ta 3.16
Sc5 0.7500 0.2500 0.5000  4 Ta 3.12, 8 Sc 3.14
Sc6 0.8755 0.8755 0.0000  8 Sc 3.13-3.14, 4 Ta 3.14
Ta1 0.3732 0.3732 0.0000  12 Sc 3.12-3.16
Ta2 0.6268 0.6268 0.0000  12 Sc 3.12-3.16

---

Record 4
The following is a PBE calculation of Pr8Pd3RuI4 after structural relaxation, from Alexandria via LeMat-Bulk.

Calculated values
The value obtained for the energy relative to the elements, uncorrected is -13.5 eV per formula unit.

a b c (Å): 9.5642 9.5642 9.5642
angles (deg): 53.01 53.01 53.01
Last column: nearest neighbours and their distance in Å.
Element x y z (fractional)
Pr1 0.2294 0.2294 0.2294  3 Pd 2.91
Pr2 0.2416 0.7236 0.7236  1 Ru 2.84, 2 Pd 2.95
Pr3 0.2764 0.2764 0.7584  1 Ru 2.84, 2 Pd 2.95
Pr4 0.2764 0.7584 0.2764  1 Ru 2.84, 2 Pd 2.95
Pr5 0.7236 0.2416 0.7236  1 Ru 2.84, 2 Pd 2.95
Pr6 0.7236 0.7236 0.2416  1 Ru 2.84, 2 Pd 2.95
Pr7 0.7584 0.2764 0.2764  1 Ru 2.84, 2 Pd 2.95
Pr8 0.7706 0.7706 0.7706  3 Pd 2.91
Pd1 0.0000 0.0000 0.5000  6 Pr 2.91-2.95
Pd2 0.0000 0.5000 0.0000  6 Pr 2.91-2.95
Pd3 0.5000 0.0000 0.0000  6 Pr 2.91-2.95
Ru1 0.5000 0.5000 0.5000  6 Pr 2.84
I1 0.0000 0.0000 0.0000  6 Pr 3.61
I2 0.0000 0.5000 0.5000  6 Pr 3.52-3.55
I3 0.5000 0.0000 0.5000  6 Pr 3.52-3.55
I4 0.5000 0.5000 0.0000  6 Pr 3.52-3.55

---

Record 5
The following is a PBE calculation of SbMo after structural relaxation, from Alexandria via LeMat-Bulk.

Calculated values
The value obtained for the energy relative to the elements, uncorrected is 0.5 eV per formula unit.

a b c (Å): 3.7180 3.7180 6.8312
angles (deg): 90.00 90.00 90.00
Last column: nearest neighbours and their distance in Å.
Element x y z (fractional)
Sb1 0.2500 0.2500 0.1847  4 Mo 2.84
Sb2 0.7500 0.7500 0.8153  4 Mo 2.84
Mo1 0.2500 0.7500 0.5000  4 Mo 2.63, 4 Sb 2.84
Mo2 0.7500 0.2500 0.5000  4 Mo 2.63, 4 Sb 2.84

---

Record 6
The following is a PBE calculation of PmBi2IO8 after structural relaxation, from Alexandria via LeMat-Bulk.

Calculated values
The value obtained for the energy relative to the elements, uncorrected is -15.9 eV per formula unit.

a b c (Å): 5.2592 6.9113 5.2651
angles (deg): 90.00 90.50 90.00
Last column: nearest neighbours and their distance in Å.
Element x y z (fractional)
Pm1 0.0000 0.0000 0.0000  6 O 2.35-2.40
Bi1 0.5000 0.2530 0.5000  4 O 2.23-2.41
Bi2 0.5000 0.7470 0.5000  4 O 2.23-2.41
I1 0.0000 0.5000 0.0000  6 O 1.88-1.95
O1 0.1775 0.2904 0.1754  1 I 1.95
O2 0.1775 0.7096 0.1754  1 I 1.95
O3 0.2498 0.5000 0.7479  1 I 1.88
O4 0.3133 0.0000 0.6851  2 Bi 2.23, 1 Pm 2.35
O5 0.6867 0.0000 0.3149  2 Bi 2.23, 1 Pm 2.35
O6 0.7502 0.5000 0.2521  1 I 1.88
O7 0.8225 0.2904 0.8246  1 I 1.95
O8 0.8225 0.7096 0.8246  1 I 1.95

---

Record 7
The following is a PBE calculation of Zr2NbMo after structural relaxation, from Alexandria via LeMat-Bulk.

Calculated values
For the total energy, the calculation gives -37.6 eV per formula unit.

a b c (Å): 4.7884 4.7884 3.4023
angles (deg): 90.00 90.00 90.00
Last column: nearest neighbours and their distance in Å.
Element x y z (fractional)
Zr1 0.0000 0.5000 0.0000  4 Nb 2.94, 4 Mo 2.94
Zr2 0.5000 0.0000 0.0000  4 Nb 2.94, 4 Mo 2.94
Nb1 0.0000 0.0000 0.5000  8 Zr 2.94
Mo1 0.5000 0.5000 0.5000  8 Zr 2.94

---

Record 8
The following is a PBE calculation of NaIn2B after structural relaxation, from Alexandria via LeMat-Bulk.

Calculated values
For the total energy, the calculation gives -11.2 eV per formula unit.

a b c (Å): 6.8554 6.8554 6.8554
angles (deg): 118.58 118.58 92.47
Last column: nearest neighbours and their distance in Å.
Element x y z (fractional)
Na1 0.0000 0.0000 0.0000  4 In 3.48
Na2 0.7500 0.2500 0.5000  4 In 3.48
In1 0.2701 0.1250 0.6451  2 B 2.24
In2 0.3750 0.7299 0.8549  2 B 2.24
In3 0.4799 0.6250 0.3549  2 B 2.24
In4 0.8750 0.5201 0.1451  2 B 2.24
B1 0.2500 0.7500 0.5000  4 In 2.24
B2 0.5000 0.5000 0.0000  4 In 2.24

---

Number 1: M_tot 14.944 μB per cell. Number 2: M_tot 0.000 μB per cell. Number 3: M_tot 0.000 μB per cell. Number 4: M_tot 0.000 μB per cell. Number 5: M_tot 0.000 μB per cell. Number 6: M_tot 0.000 μB per cell. Number 7: M_tot 0.000 μB per cell. Number 8: M_tot 0.000 μB per cell.